TcPt7 (GGA-PBE, relaxed); density of states at the Fermi level = 12.42 states/eV/f.u.; uncorrected energy = -52.8 eV per cell; symmetry = Fm-3m (225); total magnetization = 0.0003 μB per atom
1.0
5.5961 0.0000 0.0000
2.7980 4.8464 0.0000
2.7980 1.6155 4.5692
Pt Tc
7 1
Cartesian
4.1971 2.4232 0.0000
2.7980 3.2309 2.2846
4.1971 0.8077 2.2846
1.3990 2.4232 0.0000
2.7980 0.0000 0.0000
1.3990 0.8077 2.2846
5.5961 3.2309 2.2846
0.0000 0.0000 0.0000

***

TaTiMnCu (GGA-PBE, relaxed); density of states at the Fermi level = 4.26 states/eV/f.u.; uncorrected energy = -33.3 eV per cell; symmetry = F-43m (216); total magnetization = 0.0000 μB per atom
1.0
4.3288 0.0000 0.0000
2.1644 3.7489 0.0000
2.1644 1.2496 3.5345
Mn Ti Cu Ta
1 1 1 1
Cartesian
0.0000 0.0000 0.0000
2.1644 1.2496 0.8836
4.3288 2.4993 1.7672
6.4932 3.7489 2.6509

***

LaMgOs4 (GGA-PBE, relaxed); density of states at the Fermi level = 9.03 states/eV/f.u.; uncorrected energy = -50.6 eV per cell; symmetry = F-43m (216); total magnetization = 0.0000 μB per atom
1.0
0.0000 3.7925 3.7925
3.7925 0.0000 3.7925
3.7925 3.7925 0.0000
La Mg Os
1 1 4
Cartesian
5.6887 5.6887 5.6887
0.0000 0.0000 0.0000
4.7455 2.8394 4.7455
2.8394 4.7455 4.7455
4.7455 4.7455 2.8394
2.8394 2.8394 2.8394